(1)
{
  "formula": "Sm5YTe4",
  "functional": "PBE",
  "state": "relaxed",
  "lattice_angstrom": [[-2.8096, -0.3490, 3.1722], [-3.6149, -6.7435, -3.9436], [7.8684, -3.8975, 3.6908]],
  "species": ["Te", "Te", "Te", "Te", "Sm", "Sm", "Sm", "Sm", "Sm", "Y"],
  "frac_coords": [[0.6661, 0.0722, 0.3322], [0.0093, 0.2507, 0.0187], [0.9907, 0.7493, 0.9813], [0.3339, 0.9278, 0.6678], [0.5000, 0.5000, 0.0000], [0.8150, 0.6425, 0.6300], [0.1850, 0.3575, 0.3700], [0.1654, 0.8004, 0.3307], [0.8346, 0.1996, 0.6693], [0.5000, 0.0000, 0.0000]],
  "crystal_system": "monoclinic",
  "volume_a3_per_cell": 332.3,
  "dos_at_fermi_per_ev_fu": 8.37,
  "spacegroup": "C2/m, No. 12"
}



(2)
{
  "formula": "PrNd6S8",
  "functional": "PBE",
  "state": "relaxed",
  "lattice_angstrom": [[-4.8604, -4.5474, -4.6676], [3.1682, -5.8232, -4.7054], [-1.2348, -7.8243, 1.8290]],
  "species": ["Nd", "Nd", "Nd", "Nd", "Nd", "Nd", "Pr", "S", "S", "S", "S", "S", "S", "S", "S"],
  "frac_coords": [[0.0000, 0.0000, 0.5000], [0.0000, 0.5000, 0.0000], [0.5000, 0.0000, 0.0000], [0.5000, 0.5000, 0.0000], [0.0000, 0.5000, 0.5000], [0.5000, 0.0000, 0.5000], [0.0000, 0.0000, 0.0000], [0.7500, 0.7500, 0.7500], [0.7486, 0.7486, 0.2514], [0.7486, 0.2514, 0.2514], [0.2514, 0.7486, 0.2514], [0.2514, 0.7486, 0.7486], [0.2514, 0.2514, 0.7486], [0.7486, 0.2514, 0.7486], [0.2500, 0.2500, 0.2500]],
  "crystal_system": "cubic",
  "volume_a3_per_cell": 379.9,
  "dos_at_fermi_per_ev_fu": 7.04,
  "spacegroup": "Fm-3m, No. 225"
}



What did we get for formation energy without anion corrections? Answer: -0.98, -2.04 eV/atom, in the order shown.
What did we get for energy? Answer: -5.24, -6.46 eV per atom, in the order shown.